Density functional theory data (PBE) for a relaxed NbHg2Ir crystal.

Properties
The value obtained for the offset from the most stable computed form is 0.00 eV/f.u. Its space group is Fm-3m, No. 225. The formation energy is 415.8 meV per atom. The calculation puts the volume at 18.13 Å³ per atom. The magnetic moment comes out at 0.00 μB per cell.

a = 4.681 Å, b = 4.681 Å, c = 4.681 Å
α = 60.00°, β = 60.00°, γ = 60.00°
Fractional positions:
Nb 0.000 0.000 0.000
Hg 0.250 0.250 0.250
Hg 0.750 0.750 0.750
Ir 0.500 0.500 0.500